Entry 1:
Crystalline SrHfIrPb2 at its relaxed geometry. Source: Alexandria, functional PBE.

**VASP energy**: -0.247 Ry per atom
**DOS(E_F)**: 1.55 states/eV per atom
**Formation energy from the elements**: 11.14 eV per formula unit
**Density**: 8.5 g/cm³

```
data_SrHfIrPb2
_space_group_name_H-M_alt 'P 4/m m m'
_space_group_IT_number 123
_space_group_name_Hall '-P 4 2'
_cell_length_a 5.674
_cell_length_b 5.674
_cell_length_c 5.282
_cell_angle_alpha 90.00
_cell_angle_beta 90.00
_cell_angle_gamma 90.00
loop_
_atom_site_label
_atom_site_type_symbol
_atom_site_fract_x
_atom_site_fract_y
_atom_site_fract_z
Sr1 Sr 0.000 0.000 0.000
Hf1 Hf 0.000 0.000 0.500
Ir1 Ir 0.500 0.500 0.500
Pb1 Pb 0.000 0.500 0.000
```

Entry 2:
Crystalline Hf2VIrPb at its relaxed geometry. Source: Alexandria, functional PBE.

**VASP energy**: -0.478 Ry per atom
**DOS(E_F)**: 1.67 states/eV per atom
**Formation energy from the elements**: 9.07 eV per formula unit
**Density**: 10.2 g/cm³

```
data_Hf2VIrPb
_space_group_name_H-M_alt 'P 4/m m m'
_space_group_IT_number 123
_space_group_name_Hall '-P 4 2'
_cell_length_a 5.232
_cell_length_b 5.232
_cell_length_c 4.820
_cell_angle_alpha 90.00
_cell_angle_beta 90.00
_cell_angle_gamma 90.00
loop_
_atom_site_label
_atom_site_type_symbol
_atom_site_fract_x
_atom_site_fract_y
_atom_site_fract_z
Hf1 Hf 0.000 0.500 0.000
V1 V 0.000 0.000 0.500
Ir1 Ir 0.500 0.500 0.500
Pb1 Pb 0.000 0.000 0.000
```

Entry 3:
Crystalline HfIrPd2 at its relaxed geometry. Source: Alexandria, functional PBE.

**VASP energy**: -0.561 Ry per atom
**DOS(E_F)**: 0.73 states/eV per atom
**Formation energy from the elements**: -1.30 eV per formula unit
**Density**: 13.8 g/cm³

```
data_HfIrPd2
_space_group_name_H-M_alt 'I -4 2 d'
_space_group_IT_number 122
_space_group_name_Hall 'I -4 2bw'
_cell_length_a 3.846
_cell_length_b 3.846
_cell_length_c 18.962
_cell_angle_alpha 90.00
_cell_angle_beta 90.00
_cell_angle_gamma 90.00
loop_
_atom_site_label
_atom_site_type_symbol
_atom_site_fract_x
_atom_site_fract_y
_atom_site_fract_z
Hf1 Hf 0.000 0.000 0.000
Ir1 Ir 0.000 0.000 0.500
Pd1 Pd 0.244 0.250 0.625
```

Entry 4:
Crystalline Hf7Ir2Pd2 at its relaxed geometry. Source: Alexandria, functional PBE.

**VASP energy**: -0.672 Ry per atom
**DOS(E_F)**: 1.05 states/eV per atom
**Energy relative to the lowest polymorph listed for this composition**: 0.2929 eV/atom
**Formation energy from the elements**: -2.83 eV per formula unit
**Density**: 12.7 g/cm³

```
data_Hf7Ir2Pd2
_space_group_name_H-M_alt 'C m m m'
_space_group_IT_number 65
_space_group_name_Hall '-C 2 2'
_cell_length_a 7.385
_cell_length_b 9.811
_cell_length_c 6.665
_cell_angle_alpha 90.00
_cell_angle_beta 90.00
_cell_angle_gamma 90.00
loop_
_atom_site_label
_atom_site_type_symbol
_atom_site_fract_x
_atom_site_fract_y
_atom_site_fract_z
Hf1 Hf 0.000 0.000 0.000
Hf2 Hf 0.000 0.500 0.261
Hf3 Hf 0.250 0.250 0.268
Ir1 Ir 0.000 0.283 0.000
Pd1 Pd 0.193 0.000 0.500
```

Entry 5:
Crystalline Hf8Ir2Pd3 at its relaxed geometry. Source: Alexandria, functional PBE.

**VASP energy**: -0.669 Ry per atom
**DOS(E_F)**: 0.94 states/eV per atom
**Formation energy from the elements**: -5.46 eV per formula unit
**Density**: 13.4 g/cm³

```
data_Hf8Ir2Pd3
_space_group_name_H-M_alt 'C 1 2/m 1'
_space_group_IT_number 12
_space_group_name_Hall '-C 2y'
_cell_length_a 14.744
_cell_length_b 6.608
_cell_length_c 5.460
_cell_angle_alpha 90.00
_cell_angle_beta 95.84
_cell_angle_gamma 90.00
loop_
_atom_site_label
_atom_site_type_symbol
_atom_site_fract_x
_atom_site_fract_y
_atom_site_fract_z
Hf1 Hf 0.053 0.000 0.261
Hf2 Hf 0.145 0.236 0.838
Hf3 Hf 0.171 0.500 0.330
Ir1 Ir 0.227 0.000 0.232
Pd1 Pd 0.000 0.312 0.500
Pd2 Pd 0.000 0.500 0.000
```

Entry 6:
Crystalline HfIr3Pd at its relaxed geometry. Source: Alexandria, functional PBE.

**VASP energy**: -0.502 Ry per atom
**DOS(E_F)**: 1.73 states/eV per atom
**Energy relative to the lowest polymorph listed for this composition**: 0.0000 eV/atom
**Formation energy from the elements**: 7.59 eV per formula unit
**Density**: 13.9 g/cm³

```
data_HfIr3Pd
_space_group_name_H-M_alt 'P m -3 m'
_space_group_IT_number 221
_space_group_name_Hall '-P 4 2 3'
_cell_length_a 4.689
_cell_length_b 4.689
_cell_length_c 4.689
_cell_angle_alpha 90.00
_cell_angle_beta 90.00
_cell_angle_gamma 90.00
loop_
_atom_site_label
_atom_site_type_symbol
_atom_site_fract_x
_atom_site_fract_y
_atom_site_fract_z
Hf1 Hf 0.000 0.000 0.000
Ir1 Ir 0.000 0.500 0.500
Pd1 Pd 0.500 0.500 0.500
```

Entry 7:
Crystalline HfIrPd at its relaxed geometry. Source: Alexandria, functional PBE.

**VASP energy**: -0.634 Ry per atom
**DOS(E_F)**: 1.13 states/eV per atom
**Energy relative to the lowest polymorph listed for this composition**: 0.0213 eV/atom
**Formation energy from the elements**: -1.88 eV per formula unit
**Density**: 15.5 g/cm³

```
data_HfIrPd
_space_group_name_H-M_alt 'I 4 m m'
_space_group_IT_number 107
_space_group_name_Hall 'I 4 -2'
_cell_length_a 3.323
_cell_length_b 3.323
_cell_length_c 9.272
_cell_angle_alpha 90.00
_cell_angle_beta 90.00
_cell_angle_gamma 90.00
loop_
_atom_site_label
_atom_site_type_symbol
_atom_site_fract_x
_atom_site_fract_y
_atom_site_fract_z
Hf1 Hf 0.000 0.000 0.000
Ir1 Ir 0.000 0.000 0.350
Pd1 Pd 0.000 0.000 0.666
```

Entry 8:
Crystalline Hf2Ir2Pd at its relaxed geometry. Source: Alexandria, functional PBE.

**VASP energy**: -0.676 Ry per atom
**DOS(E_F)**: 0.38 states/eV per atom
**Energy relative to the lowest polymorph listed for this composition**: 0.1369 eV/atom
**Formation energy from the elements**: -3.17 eV per formula unit
**Density**: 15.4 g/cm³

```
data_Hf2Ir2Pd
_space_group_name_H-M_alt 'P 4/m b m'
_space_group_IT_number 127
_space_group_name_Hall '-P 4 2ab'
_cell_length_a 7.693
_cell_length_b 7.693
_cell_length_c 3.080
_cell_angle_alpha 90.00
_cell_angle_beta 90.00
_cell_angle_gamma 90.00
loop_
_atom_site_label
_atom_site_type_symbol
_atom_site_fract_x
_atom_site_fract_y
_atom_site_fract_z
Hf1 Hf 0.156 0.344 0.000
Ir1 Ir 0.139 0.639 0.500
Pd1 Pd 0.000 0.000 0.000
```

- Which of these has the highest DOS(E_F)?
  HfIr3Pd